1.
VASP calculation (PBE) on crystalline TmTh2Rh5 at its relaxed geometry.

```
data_TmTh2Rh5
_chemical_formula_sum 'Tm2 Th4 Rh10'
_space_group_name_H-M_alt 'P b a m'
_space_group_IT_number 55
_space_group_name_Hall '-P 2 2ab'
_cell_length_a 5.928
_cell_length_b 11.666
_cell_length_c 4.467
_cell_angle_alpha 90.00
_cell_angle_beta 90.00
_cell_angle_gamma 90.00
loop_
_atom_site_label
_atom_site_type_symbol
_atom_site_fract_x
_atom_site_fract_y
_atom_site_fract_z
Tm1 Tm 0.000 0.000 0.000
Th1 Th 0.151 0.353 0.500
Rh1 Rh 0.000 0.500 0.000
Rh2 Rh 0.098 0.749 0.000
Rh3 Rh 0.177 0.109 0.500
```



2.
VASP calculation (PBE) on crystalline ReMo2Pb at its relaxed geometry.

```
data_ReMo2Pb
_chemical_formula_sum 'Re2 Mo4 Pb2'
_space_group_name_H-M_alt 'I m m 2'
_space_group_IT_number 44
_space_group_name_Hall 'I 2 -2'
_cell_length_a 3.307
_cell_length_b 4.467
_cell_length_c 9.318
_cell_angle_alpha 90.00
_cell_angle_beta 90.00
_cell_angle_gamma 90.00
loop_
_atom_site_label
_atom_site_type_symbol
_atom_site_fract_x
_atom_site_fract_y
_atom_site_fract_z
Re1 Re 0.000 0.000 0.000
Mo1 Mo 0.000 0.000 0.486
Mo2 Mo 0.000 0.500 0.739
Pb1 Pb 0.000 0.500 0.244
```



What calculated density values result from the calculations? In sequence: 12339; 14118 kg/m³.
What formation enthalpy at 0 K values result from the calculations? In sequence: -19.63; 14.22 kcal/mol of atoms.